Record 1
Dy4Zn2S | Alexandria | PBE | optimized geometry; SG = No. 12
1.0
3.733 0.000 1.130
1.578 6.217 1.517
-0.205 0.270 7.407
S Zn Dy
1 2 4
direct
0.000 0.000 0.000 S
0.386 0.555 0.673 Zn
0.614 0.445 0.327 Zn
0.327 0.261 0.084 Dy
0.093 0.193 0.621 Dy
0.907 0.807 0.379 Dy
0.673 0.739 0.916 Dy


Record 2
Dy2ZnS4 | Alexandria | PBE | optimized geometry; energy relative to the lowest polymorph listed for this composition = 0.000 kcal/mol of atoms; SG = No. 62
1.0
-2.241 -5.855 -0.913
6.676 -1.967 -3.776
5.491 -3.934 11.756
Zn S Dy
4 16 8
direct
0.910 0.250 0.408 Zn
0.410 0.750 0.092 Zn
0.590 0.250 0.908 Zn
0.090 0.750 0.592 Zn
0.757 0.250 0.569 S
0.744 0.485 0.332 S
0.256 0.515 0.668 S
0.756 0.485 0.832 S
0.743 0.250 0.069 S
0.726 0.750 0.590 S
0.226 0.250 0.910 S
0.274 0.250 0.410 S
0.756 0.015 0.832 S
0.243 0.750 0.431 S
0.244 0.985 0.168 S
0.256 0.985 0.668 S
0.244 0.515 0.168 S
0.257 0.750 0.931 S
0.744 0.015 0.332 S
0.774 0.750 0.090 S
0.005 0.250 0.734 Dy
0.505 0.750 0.766 Dy
0.495 0.250 0.234 Dy
0.000 0.000 0.000 Dy
0.995 0.750 0.266 Dy
0.000 0.500 0.000 Dy
0.500 0.000 0.500 Dy
0.500 0.500 0.500 Dy


Record 3
Dy4ZnS2 | Alexandria | PBE | optimized geometry; SG = No. 63
1.0
-3.643 0.003 -1.479
3.413 -4.751 -3.191
-3.791 -8.980 9.317
S Dy Zn
4 8 2
direct
0.136 0.271 0.440 S
0.864 0.729 0.560 S
0.136 0.271 0.060 S
0.864 0.729 0.940 S
0.059 0.118 0.250 Dy
0.500 0.000 0.000 Dy
0.500 0.000 0.500 Dy
0.941 0.882 0.750 Dy
0.229 0.458 0.880 Dy
0.229 0.458 0.620 Dy
0.771 0.542 0.380 Dy
0.771 0.542 0.120 Dy
0.613 0.227 0.750 Zn
0.387 0.773 0.250 Zn


no.,raw formation energy (meV/atom),total energy (eV/atom)
1,-733.3,-4.317
2,-1700.1,-5.556
3,-1244.5,-5.236